Material: Tl2InF5
Method: DFT, GGA-PBE
State: optimized geometry

abc: 6.546 6.546 6.470
angles: 120.39 120.39 90.00
Fractional coordinates of all 8 atoms:
F1 0.825 0.825 0.081
F2 0.825 0.256 0.081
F3 0.753 0.753 0.507
F4 0.256 0.825 0.081
F5 0.256 0.256 0.081
Tl1 0.693 0.193 0.386
Tl2 0.193 0.693 0.386
In1 0.976 0.976 0.952

Summary:
As for the space group: I4mm, No. 107. The energy above the most stable polymorph in this dataset comes out at 0.51 eV per formula unit. The density of states at the Fermi level comes out at 0.0 states/eV/cell. The value obtained for the uncorrected formation energy is -2110 meV per atom.

Material: Tl2InF5
Method: DFT, GGA-PBE
State: optimized geometry

abc: 6.896 7.306 11.412
angles: 90.00 90.00 90.00
Fractional coordinates of all 32 atoms:
Tl1 0.964 0.003 0.669
Tl2 0.464 0.503 0.831
Tl3 0.464 0.997 0.831
Tl4 0.036 0.997 0.331
Tl5 0.536 0.003 0.169
Tl6 0.964 0.497 0.669
Tl7 0.536 0.497 0.169
Tl8 0.036 0.503 0.331
In1 0.056 0.250 0.001
In2 0.556 0.750 0.499
In3 0.944 0.750 0.999
In4 0.444 0.250 0.501
F1 0.409 0.750 0.338
F2 0.650 0.043 0.439
F3 0.643 0.750 0.678
F4 0.150 0.957 0.061
F5 0.091 0.750 0.838
F6 0.135 0.250 0.520
F7 0.143 0.250 0.822
F8 0.865 0.750 0.480
F9 0.357 0.250 0.322
F10 0.350 0.957 0.561
F11 0.857 0.750 0.178
F12 0.150 0.543 0.061
F13 0.350 0.543 0.561
F14 0.635 0.750 0.980
F15 0.909 0.250 0.162
F16 0.850 0.457 0.939
F17 0.850 0.043 0.939
F18 0.365 0.250 0.020
F19 0.650 0.457 0.439
F20 0.591 0.250 0.662

Summary:
As for the space group: Pnma, No. 62. The energy above the most stable polymorph in this dataset comes out at 0.00 eV per formula unit. The density of states at the Fermi level comes out at 0.0 states/eV/cell. The value obtained for the uncorrected formation energy is -2174 meV per atom.

Material: Tl2In2F5
Method: DFT, GGA-PBE
State: optimized geometry

abc: 6.009 7.397 8.863
angles: 137.42 57.89 129.69
Fractional coordinates of all 9 atoms:
F1 0.754 0.347 0.086
F2 0.899 0.981 0.348
F3 0.246 0.653 0.914
F4 0.101 0.019 0.652
F5 0.000 0.000 0.000
Tl1 0.435 0.132 0.355
Tl2 0.565 0.868 0.645
In1 0.816 0.630 0.004
In2 0.184 0.370 0.996

Summary:
As for the space group: P-1, No. 2. The density of states at the Fermi level comes out at 1.9 states/eV/cell. The value obtained for the uncorrected formation energy is -1857 meV per atom.

Material: TlInF5
Method: DFT, GGA-PBE
State: optimized geometry

abc: 5.979 5.979 8.308
angles: 69.63 69.63 71.39
Fractional coordinates of all 14 atoms:
F1 0.932 0.068 0.750
F2 0.222 0.249 0.379
F3 0.068 0.932 0.250
F4 0.751 0.778 0.121
F5 0.311 0.703 0.523
F6 0.689 0.297 0.477
F7 0.249 0.222 0.879
F8 0.297 0.689 0.977
F9 0.703 0.311 0.023
F10 0.778 0.751 0.621
Tl1 0.532 0.468 0.750
Tl2 0.468 0.532 0.250
In1 0.000 0.000 0.500
In2 0.000 0.000 0.000

Summary:
As for the space group: C2/c, No. 15. The density of states at the Fermi level comes out at 3.2 states/eV/cell. The value obtained for the uncorrected formation energy is -2156 meV per atom.

Material: Tl12In3F5
Method: DFT, GGA-PBE
State: optimized geometry

abc: 14.734 14.734 14.734
angles: 109.47 109.47 109.47
Fractional coordinates of all 80 atoms:
F1 0.000 0.000 0.500
F2 0.625 0.750 0.875
F3 0.500 0.000 0.500
F4 0.500 0.000 0.000
F5 0.125 0.375 0.250
F6 0.375 0.125 0.750
F7 0.000 0.500 0.500
F8 0.875 0.250 0.625
F9 0.250 0.375 0.625
F10 0.750 0.125 0.875
F11 0.000 0.000 0.000
F12 0.500 0.500 0.000
F13 0.500 0.500 0.500
F14 0.375 0.250 0.125
F15 0.000 0.500 0.000
F16 0.125 0.750 0.375
F17 0.875 0.625 0.750
F18 0.250 0.875 0.125
F19 0.750 0.625 0.375
F20 0.625 0.875 0.250
Tl1 0.408 0.111 0.588
Tl2 0.412 0.023 0.320
Tl3 0.977 0.389 0.297
Tl4 0.703 0.111 0.023
Tl5 0.680 0.203 0.592
Tl6 0.111 0.703 0.523
Tl7 0.797 0.477 0.389
Tl8 0.408 0.297 0.320
Tl9 0.588 0.977 0.680
Tl10 0.203 0.680 0.092
Tl11 0.523 0.320 0.912
Tl12 0.023 0.412 0.820
Tl13 0.908 0.820 0.797
Tl14 0.889 0.297 0.477
Tl15 0.412 0.389 0.592
Tl16 0.389 0.412 0.092
Tl17 0.477 0.797 0.889
Tl18 0.588 0.611 0.408
Tl19 0.908 0.088 0.611
Tl20 0.703 0.592 0.180
Tl21 0.820 0.912 0.023
Tl22 0.477 0.680 0.088
Tl23 0.592 0.703 0.680
Tl24 0.320 0.797 0.408
Tl25 0.297 0.408 0.820
Tl26 0.088 0.180 0.477
Tl27 0.611 0.588 0.908
Tl28 0.912 0.092 0.889
Tl29 0.912 0.820 0.523
Tl30 0.523 0.203 0.111
Tl31 0.320 0.523 0.412
Tl32 0.088 0.908 0.111
Tl33 0.092 0.912 0.389
Tl34 0.092 0.180 0.203
Tl35 0.297 0.889 0.977
Tl36 0.023 0.611 0.703
Tl37 0.820 0.908 0.297
Tl38 0.611 0.023 0.203
Tl39 0.389 0.977 0.797
Tl40 0.203 0.523 0.611
Tl41 0.977 0.588 0.180
Tl42 0.180 0.092 0.703
Tl43 0.111 0.408 0.088
Tl44 0.180 0.088 0.977
Tl45 0.889 0.592 0.912
Tl46 0.592 0.889 0.412
Tl47 0.680 0.477 0.588
Tl48 0.797 0.320 0.908
In1 0.750 0.875 0.625
In2 0.875 0.125 0.250
In3 0.375 0.750 0.625
In4 0.625 0.250 0.375
In5 0.750 0.375 0.125
In6 0.875 0.750 0.125
In7 0.375 0.625 0.250
In8 0.250 0.625 0.875
In9 0.125 0.875 0.750
In10 0.125 0.250 0.875
In11 0.250 0.125 0.375
In12 0.625 0.375 0.750

Summary:
As for the space group: Ia-3d, No. 230. The density of states at the Fermi level comes out at 39.0 states/eV/cell. The value obtained for the uncorrected formation energy is -681 meV per atom.

Material: TlInF2
Method: DFT, GGA-PBE
State: optimized geometry

abc: 3.393 3.393 6.789
angles: 90.00 90.00 90.00
Fractional coordinates of all 4 atoms:
F1 0.000 0.000 0.247
F2 0.000 0.000 0.753
Tl1 0.500 0.500 0.500
In1 0.500 0.500 0.000

Summary:
As for the space group: P4/mmm, No. 123. The energy above the most stable polymorph in this dataset comes out at 0.78 eV per formula unit. The density of states at the Fermi level comes out at 0.1 states/eV/cell. The value obtained for the uncorrected formation energy is -1548 meV per atom.

Material: TlIn2F
Method: DFT, GGA-PBE
State: optimized geometry

abc: 5.473 5.473 8.770
angles: 71.82 71.82 90.00
Fractional coordinates of all 8 atoms:
In1 0.253 0.625 0.250
In2 0.375 0.503 0.750
In3 0.875 0.747 0.750
In4 0.497 0.125 0.250
Tl1 0.750 0.250 0.500
Tl2 0.000 0.000 0.000
F1 0.250 0.750 0.500
F2 0.500 0.500 0.000

Summary:
As for the space group: I-42d, No. 122. The energy above the most stable polymorph in this dataset comes out at 0.00 eV per formula unit. The density of states at the Fermi level comes out at 3.6 states/eV/cell. The value obtained for the uncorrected formation energy is -623 meV per atom.

Material: Tl2In3F8
Method: DFT, GGA-PBE
State: optimized geometry

abc: 6.856 6.493 7.916
angles: 114.21 116.49 90.00
Fractional coordinates of all 13 atoms:
Tl1 0.741 0.691 0.382
Tl2 0.259 0.309 0.618
F1 0.599 0.692 0.856
F2 0.599 0.164 0.856
F3 0.825 0.129 0.257
F4 0.014 0.600 0.201
F5 0.401 0.836 0.144
F6 0.401 0.308 0.144
F7 0.986 0.400 0.799
F8 0.175 0.871 0.743
In1 0.000 0.231 0.000
In2 0.000 0.769 0.000
In3 0.500 0.000 0.000

Summary:
As for the space group: C2/m, No. 12. The density of states at the Fermi level comes out at 3.2 states/eV/cell. The value obtained for the uncorrected formation energy is -2074 meV per atom.

Material: Tl2InF6
Method: DFT, GGA-PBE
State: optimized geometry

abc: 6.192 6.487 9.023
angles: 90.00 96.68 90.00
Fractional coordinates of all 18 atoms:
F1 0.863 0.762 0.622
F2 0.637 0.262 0.878
F3 0.825 0.880 0.302
F4 0.363 0.738 0.122
F5 0.778 0.670 0.961
F6 0.278 0.830 0.461
F7 0.222 0.330 0.039
F8 0.675 0.380 0.198
F9 0.722 0.170 0.539
F10 0.137 0.238 0.378
F11 0.325 0.620 0.802
F12 0.175 0.120 0.698
Tl1 0.536 0.936 0.730
Tl2 0.964 0.436 0.770
Tl3 0.036 0.564 0.230
Tl4 0.464 0.064 0.270
In1 0.500 0.500 0.000
In2 0.000 0.000 0.500

Summary:
As for the space group: P2_1/c, No. 14. The density of states at the Fermi level comes out at 7.7 states/eV/cell. The value obtained for the uncorrected formation energy is -2067 meV per atom.

Material: TlInF2
Method: DFT, GGA-PBE
State: optimized geometry

abc: 8.309 8.309 8.309
angles: 25.65 25.65 25.65
Fractional coordinates of all 4 atoms:
Tl1 0.500 0.500 0.500
In1 0.000 0.000 0.000
F1 0.093 0.093 0.093
F2 0.907 0.907 0.907

Summary:
As for the space group: R-3m, No. 166. The energy above the most stable polymorph in this dataset comes out at 0.73 eV per formula unit. The density of states at the Fermi level comes out at 0.1 states/eV/cell. The value obtained for the uncorrected formation energy is -1562 meV per atom.

Material: UTl2InF8
Method: DFT, GGA-PBE
State: optimized geometry

abc: 6.237 6.237 7.510
angles: 114.54 114.54 90.00
Fractional coordinates of all 12 atoms:
F1 0.151 0.063 0.712
F2 0.937 0.849 0.288
F3 0.937 0.440 0.288
F4 0.151 0.649 0.712
F5 0.560 0.649 0.712
F6 0.351 0.440 0.288
F7 0.560 0.063 0.712
F8 0.351 0.849 0.288
Tl1 0.750 0.250 0.500
Tl2 0.000 0.000 0.000
U1 0.250 0.750 0.500
In1 0.500 0.500 0.000

Summary:
As for the space group: I-4m2, No. 119. The density of states at the Fermi level comes out at 8.0 states/eV/cell. The value obtained for the uncorrected formation energy is -2666 meV per atom.

Material: UTl2InF6
Method: DFT, GGA-PBE
State: optimized geometry

abc: 6.928 6.930 6.932
angles: 60.03 60.04 90.03
Fractional coordinates of all 10 atoms:
In1 0.000 0.000 0.000
F1 0.275 0.275 0.450
F2 0.725 0.725 0.550
F3 0.725 0.275 0.000
F4 0.725 0.724 0.000
F5 0.275 0.725 0.000
F6 0.275 0.276 0.000
U1 0.500 0.500 0.000
Tl1 0.250 0.750 0.500
Tl2 0.750 0.250 0.500

Summary:
As for the space group: I4/mmm, No. 139. The density of states at the Fermi level comes out at 11.2 states/eV/cell. The value obtained for the uncorrected formation energy is -2374 meV per atom.